(1)
Density functional theory data (GGA-PBE) for VMoIrRh after structural relaxation.

Cell lengths 3.8262, 3.8736, 3.8878 Å; angles 90.00, 90.00, 90.00 degrees
Last column: nearest neighbours and their distance in Å.
Fractional positions:
1 V 0.0000 0.0000 0.0000  4 Rh 2.72, 4 Ir 2.73, 4 Mo 2.74
2 Mo 0.0000 0.5000 0.5000  4 Ir 2.72, 4 Rh 2.73, 4 V 2.74
3 Ir 0.5000 0.0000 0.5000  4 Mo 2.72, 4 V 2.73, 4 Rh 2.74
4 Rh 0.5000 0.5000 0.0000  4 V 2.72, 4 Mo 2.73, 4 Ir 2.74

Summary:
The value obtained for the uncorrected energy is -9.370 eV per atom. The value obtained for the calculated volume is 14.41 A^3/atom. The value obtained for the formation enthalpy at 0 K is -0.33 eV per atom. The space group is Pmmm. The calculation puts the total magnetization at 0.00 μB per cell.



(2)
Density functional theory data (GGA-PBE) for Sr2CaTi2 after structural relaxation.

Cell lengths 8.0513, 8.0513, 8.0513 Å; angles 144.17, 144.17, 51.57 degrees
Last column: nearest neighbours and their distance in Å.
Fractional positions:
1 Sr 0.2500 0.7500 0.5000  4 Sr 3.50, 4 Ti 3.60
2 Sr 0.7500 0.2500 0.5000  4 Sr 3.50, 4 Ti 3.60
3 Ca 0.0000 0.0000 0.0000  8 Ti 3.65
4 Ti 0.4301 0.4301 0.0000  1 Ti 2.03
5 Ti 0.5699 0.5699 0.0000  1 Ti 2.03

Summary:
The value obtained for the uncorrected energy is -3.490 eV per atom. The value obtained for the calculated volume is 35.57 A^3/atom. The value obtained for the formation enthalpy at 0 K is 0.74 eV per atom. The calculation puts the excess energy over the best structure of this formula in the dataset at 0.149 eV/atom. The space group is I4/mmm. The calculation puts the total magnetization at 0.15 μB per cell.



(3)
Density functional theory data (GGA-PBE) for Cs2ZnI after structural relaxation.

Cell lengths 6.6637, 6.6637, 6.6637 Å; angles 60.00, 60.00, 60.00 degrees
Last column: nearest neighbours and their distance in Å.
Fractional positions:
1 Cs 0.2500 0.2500 0.2500  4 I 4.08, 4 Zn 4.08
2 Cs 0.7500 0.7500 0.7500  4 I 4.08, 4 Zn 4.08
3 Zn 0.0000 0.0000 0.0000  8 Cs 4.08
4 I 0.5000 0.5000 0.5000  8 Cs 4.08

Summary:
The value obtained for the uncorrected energy is -1.652 eV per atom. The value obtained for the calculated volume is 52.31 A^3/atom. The calculation puts the excess energy over the best structure of this formula in the dataset at 0.084 eV/atom. The space group is Fm-3m. As for the formation energy from raw total energies: -519.3 meV per atom. The calculation puts the total magnetization at 0.00 μB per cell.